--- one ---
Entry from the Alexandria database: a crystal of LiTc2Ag relaxed with PBEsol (SCAN).

Cell and atoms, written as POSCAR:
```
LiTc2Ag
1.0
4.891 0.000 0.000
0.000 9.047 0.000
0.000 0.000 2.574
Li Tc Ag
2 4 2
direct
0.000 0.000 0.000
0.500 0.500 0.000
0.250 0.250 0.500
0.250 0.750 0.500
0.750 0.250 0.500
0.750 0.750 0.500
0.000 0.500 0.000
0.500 0.000 0.000
```

Spin magnetization in μB/cell: 0.00


--- two ---
Entry from the Alexandria database: a crystal of LiTc2Ag relaxed with PBEsol (SCAN).

Cell and atoms, written as POSCAR:
```
LiTc2Ag
1.0
3.523 0.000 0.000
0.000 3.523 0.000
0.000 0.000 9.043
Li Tc Ag
2 4 2
direct
0.000 0.000 0.000
0.500 0.500 0.500
0.000 0.500 0.250
0.000 0.500 0.750
0.500 0.000 0.250
0.500 0.000 0.750
0.000 0.000 0.500
0.500 0.500 0.000
```

Spin magnetization in μB/cell: 0.00


Pick two: it beats the second-best structure by 27 meV per atom.


--- one ---
Entry from the Alexandria database: a crystal of LiTc2Ag relaxed with PBEsol (SCAN).

Cell and atoms, written as POSCAR:
```
LiTc2Ag
1.0
4.304 0.000 0.000
0.000 4.304 0.000
0.000 0.000 6.062
Li Tc Ag
2 4 2
direct
0.000 0.000 0.000
0.500 0.500 0.500
0.000 0.000 0.500
0.000 0.500 0.750
0.500 0.000 0.250
0.500 0.500 0.000
0.000 0.500 0.250
0.500 0.000 0.750
```

Spin magnetization in μB/cell: 0.00


--- two ---
Entry from the Alexandria database: a crystal of LiTc2Ag relaxed with PBEsol (SCAN).

Cell and atoms, written as POSCAR:
```
LiTc2Ag
1.0
3.288 0.000 0.000
0.000 3.288 0.000
0.000 0.000 5.219
Li Tc Ag
1 2 1
direct
0.000 0.000 0.000
0.500 0.500 0.206
0.500 0.500 0.794
0.000 0.000 0.500
```

Spin magnetization in μB/cell: 0.00


Pick one: it beats the second-best structure by 172 meV per atom.